Version 1
## Er3Ag2 (PBE)

Data for a relaxed structure of Er3Ag2.

Crystal system: triclinic
Magnetization, μB/f.u.: 0.0
Space-group type: No. 2

abc: 5.022 7.950 10.619
angles: 89.92 90.04 108.48
Element x y z (fractional)
Er1 0.500 0.000 0.000
Er2 0.833 0.665 0.667
Er3 0.164 0.327 0.668
Er4 0.167 0.335 0.333
Er5 0.169 0.338 0.997
Er6 0.831 0.662 0.003
Er7 0.498 0.995 0.336
Er8 0.502 0.005 0.664
Er9 0.836 0.673 0.332
Ag1 0.334 0.668 0.833
Ag2 0.333 0.666 0.501
Ag3 0.999 0.998 0.834
Ag4 0.666 0.332 0.167
Ag5 0.001 0.002 0.166
Ag6 0.667 0.334 0.499

---

Version 2
## Er3Ag2 (PBE)

Data for a relaxed structure of Er3Ag2.

Crystal system: tetragonal
Magnetization, μB/f.u.: 0.0
Space-group type: No. 123

abc: 3.577 3.577 19.470
angles: 90.00 90.00 90.00
Element x y z (fractional)
Er1 0.500 0.500 0.000
Er2 0.000 0.000 0.500
Er3 0.000 0.000 0.688
Er4 0.000 0.000 0.125
Er5 0.000 0.000 0.312
Er6 0.000 0.000 0.875
Ag1 0.500 0.500 0.593
Ag2 0.500 0.500 0.407
Ag3 0.500 0.500 0.782
Ag4 0.500 0.500 0.218

---

version 2 wins, 146 meV/atom ahead of the next structure.

---

Version 1
## ErGa3Ag3 (PBE)

Data for a relaxed structure of ErGa3Ag3.

Crystal system: trigonal
Magnetization, μB/f.u.: 0.0
Space-group type: No. 148

abc: 7.980 7.980 6.966
angles: 55.05 55.05 60.00
Element x y z (fractional)
Ga1 0.954 0.234 0.155
Ga2 0.657 0.954 0.155
Ga3 0.234 0.657 0.155
Ga4 0.766 0.343 0.845
Ga5 0.046 0.766 0.845
Ga6 0.343 0.046 0.845
Ag1 0.539 0.226 0.357
Ag2 0.122 0.461 0.643
Ag3 0.461 0.774 0.643
Ag4 0.878 0.539 0.357
Ag5 0.774 0.122 0.643
Ag6 0.226 0.878 0.357
Er1 0.662 0.662 0.015
Er2 0.338 0.338 0.985

---

Version 2
## ErGa3Ag3 (PBE)

Data for a relaxed structure of ErGa3Ag3.

Crystal system: monoclinic
Magnetization, μB/f.u.: 0.0
Space-group type: No. 11

abc: 4.314 6.641 10.067
angles: 113.95 90.00 90.00
Element x y z (fractional)
Ag1 0.250 0.768 0.755
Ag2 0.750 0.232 0.245
Ag3 0.750 0.814 0.953
Ag4 0.250 0.186 0.047
Ag5 0.250 0.820 0.147
Ag6 0.750 0.180 0.853
Ga1 0.750 0.905 0.345
Ga2 0.250 0.481 0.886
Ga3 0.250 0.095 0.655
Ga4 0.250 0.177 0.399
Ga5 0.750 0.519 0.114
Ga6 0.750 0.823 0.601
Er1 0.750 0.378 0.614
Er2 0.250 0.622 0.386

---

version 2 wins, 102 meV/atom ahead of the next structure.

---

Version 1
## Er2GaAg3 (PBE)

Data for a relaxed structure of Er2GaAg3.

Crystal system: orthorhombic
Magnetization, μB/f.u.: 0.0
Space-group type: No. 44

abc: 3.662 4.235 9.203
angles: 103.30 101.47 90.00
Element x y z (fractional)
Ga1 0.459 0.959 0.918
Ag1 0.309 0.809 0.617
Ag2 0.539 0.539 0.078
Ag3 0.695 0.695 0.390
Er1 0.881 0.381 0.763
Er2 0.117 0.117 0.234

---

Version 2
## Er2GaAg3 (PBE)

Data for a relaxed structure of Er2GaAg3.

Crystal system: orthorhombic
Magnetization, μB/f.u.: 0.0
Space-group type: No. 69

abc: 5.756 5.756 9.373
angles: 113.78 113.78 71.76
Element x y z (fractional)
Ag1 0.171 0.171 0.830
Ag2 0.171 0.171 0.342
Ag3 0.829 0.829 0.170
Ag4 0.341 0.341 0.170
Ag5 0.659 0.659 0.830
Ag6 0.829 0.829 0.658
Er1 0.247 0.753 0.000
Er2 0.750 0.250 0.500
Er3 0.250 0.750 0.500
Er4 0.753 0.247 0.000
Ga1 0.666 0.666 0.333
Ga2 0.334 0.334 0.667

---

version 2 wins, 101 meV/atom ahead of the next structure.